Record 1
## CuPb2I2O2 (PBE-GGA)

Data for CuPb2I2O2 after structural relaxation.

Cell lengths 4.0633, 4.0633, 10.9200 Å; angles 100.72, 100.72, 90.00 degrees
Positions (direct):
Cu 0.0000 0.0000 0.0000
Pb 0.4186 0.4186 0.8372
Pb 0.5814 0.5814 0.1628
I 0.1648 0.1648 0.3296
I 0.8352 0.8352 0.6704
O 0.0000 0.5000 0.0000
O 0.5000 0.0000 0.0000

Properties
space group	I4/mmm (139)
DFT total energy	-4.199	eV per atom
formation energy without anion corrections	-0.69	eV per atom

---

Record 2
## BaCuSe (PBE-GGA)

Data for BaCuSe after structural relaxation.

Cell lengths 4.9336, 4.9336, 4.9336 Å; angles 60.00, 60.00, 60.00 degrees
Positions (direct):
Ba 0.5000 0.5000 0.5000
Cu 0.2500 0.2500 0.2500
Se 0.0000 0.0000 0.0000

Properties
energy relative to the lowest polymorph listed for this composition	0.259	eV per atom
space group	F-43m (216)
DFT total energy	-3.724	eV per atom
formation energy without anion corrections	-0.56	eV per atom

---

Record 3
## NdSmY2 (PBE-GGA)

Data for NdSmY2 after structural relaxation.

Cell lengths 3.6160, 3.6160, 10.2032 Å; angles 90.00, 90.00, 90.00 degrees
Positions (direct):
Y 0.0000 0.0000 0.7481
Y 0.0000 0.0000 0.2519
Nd 0.5000 0.5000 0.0000
Sm 0.5000 0.5000 0.5000

Properties
calculated formation energy	0.019	eV/atom
energy relative to the lowest polymorph listed for this composition	0.008	eV per atom
space group	P4/mmm (123)
DFT total energy	-5.585	eV per atom

---

Record 4
## Tl2SnAsSe4 (PBE-GGA)

Data for Tl2SnAsSe4 after structural relaxation.

Cell lengths 8.5082, 8.5082, 8.6993 Å; angles 120.75, 120.75, 90.12 degrees
Positions (direct):
Tl 0.5000 0.0000 0.0000
Tl 0.5000 0.0000 0.5000
Tl 0.0000 0.0000 0.5000
Tl 0.5000 0.5000 0.0000
Sn 0.0000 0.5000 0.0000
Sn 0.0000 0.5000 0.5000
As 0.5000 0.5000 0.5000
As 0.0000 0.0000 0.0000
Se 0.2175 0.7522 0.9849
Se 0.7478 0.2825 0.5151
Se 0.2522 0.7175 0.4849
Se 0.7825 0.2478 0.0151
Se 0.7579 0.7420 0.9645
Se 0.7580 0.7421 0.5355
Se 0.2420 0.2580 0.4645
Se 0.2420 0.2580 0.0355

Properties
space group	Imma (74)
DFT total energy	-3.695	eV per atom
formation energy without anion corrections	-0.28	eV per atom

---

Record 5
## CsTmCr2Cl8 (PBE-GGA)

Data for CsTmCr2Cl8 after structural relaxation.

Cell lengths 6.7562, 6.8367, 9.4270 Å; angles 66.40, 70.12, 68.91 degrees
Site moments in Bohr magnetons follow the coordinates.
Positions (direct):
Cs 0.0000 0.0000 0.5000  0.01
Tm 0.0000 0.0000 0.0000  0.05
Cr 0.4280 0.4752 0.7069  3.59
Cr 0.5720 0.5248 0.2931  3.59
Cl 0.1723 0.7101 0.2355  0.02
Cl 0.7398 0.7581 0.0535  -0.01
Cl 0.7038 0.2210 0.1883  -0.01
Cl 0.8277 0.2899 0.7645  0.02
Cl 0.2602 0.2419 0.9465  -0.01
Cl 0.2962 0.7790 0.8117  -0.01
Cl 0.5598 0.7237 0.4550  -0.04
Cl 0.4402 0.2763 0.5450  -0.04

Properties
space group	P-1 (2)
DFT total energy	-4.810	eV per atom
formation energy without anion corrections	-1.53	eV per atom

---

Record 6
## BaTlRh2 (PBE-GGA)

Data for BaTlRh2 after structural relaxation.

Cell lengths 4.8154, 4.8154, 3.7522 Å; angles 90.00, 90.00, 90.00 degrees
Positions (direct):
Ba 0.0000 0.0000 0.5000
Tl 0.5000 0.5000 0.5000
Rh 0.5000 0.0000 0.0000
Rh 0.0000 0.5000 0.0000

Properties
calculated formation energy	0.132	eV/atom
space group	P4/mmm (123)
DFT total energy	-4.616	eV per atom

---

Record 7
## Ac8HoEr2 (PBE-GGA)

Data for Ac8HoEr2 after structural relaxation.

Cell lengths 5.5171, 8.6474, 10.1492 Å; angles 105.05, 105.77, 90.00 degrees
Positions (direct):
Ac 0.6817 0.9161 0.3634
Ac 0.4052 0.5464 0.8104
Ac 0.1388 0.1916 0.2776
Ac 0.9526 0.2699 0.9052
Ac 0.8612 0.8084 0.7224
Ac 0.5948 0.4536 0.1896
Ac 0.3183 0.0839 0.6366
Ac 0.0474 0.7301 0.0948
Ho 0.5000 0.0000 0.0000
Er 0.2263 0.6320 0.4526
Er 0.7737 0.3680 0.5474

Properties
calculated formation energy	0.058	eV/atom
space group	C2/m (12)
DFT total energy	-4.176	eV per atom

---

Record 8
## ScGaAs2Br (PBE-GGA)

Data for ScGaAs2Br after structural relaxation.

Cell lengths 4.8708, 4.8708, 5.1830 Å; angles 90.00, 90.00, 90.00 degrees
Positions (direct):
Sc 0.5000 0.5000 0.5000
As 0.0000 0.5000 0.0000
As 0.5000 0.0000 0.0000
Ga 0.0000 0.0000 0.0000
Br 0.0000 0.0000 0.5000

Properties
energy relative to the lowest polymorph listed for this composition	0.268	eV per atom
space group	P4/mmm (123)
DFT total energy	-3.944	eV per atom
formation energy without anion corrections	0.12	eV per atom